(1)
! LaNd2Y9 (PBE, optimized geometry); values from VASP
! * space group: P4/mmm (123)
&SYSTEM
  ibrav = 0, nat = 12, ntyp = 3
/
ATOMIC_SPECIES
Y 88.91 Y.upf
La 138.91 La.upf
Nd 144.24 Nd.upf
CELL_PARAMETERS angstrom
-1.781 -4.638 -1.151
1.327 -1.660 4.636
-13.779 3.961 5.362
ATOMIC_POSITIONS angstrom
Y -7.780 -0.338 2.105
Y -12.347 0.974 3.882
Y -4.835 -1.825 3.535
Y -0.227 -3.149 1.742
La 0.000 0.000 0.000
Y -3.213 -1.651 0.328
Nd -9.186 2.641 3.575
Y -10.794 2.463 6.776
Nd -4.593 1.320 1.787
Y -9.399 -0.513 5.311
Y -6.226 1.150 4.999
Y -1.659 -0.163 3.221



(2)
! LaNd2Y6 (PBE, optimized geometry); values from VASP
! * space group: C2/c (15)
! * distance to the lowest polymorph of the same formula: 77 meV/atom
&SYSTEM
  ibrav = 0, nat = 18, ntyp = 3
/
ATOMIC_SPECIES
Y 88.91 Y.upf
Nd 144.24 Nd.upf
La 138.91 La.upf
CELL_PARAMETERS angstrom
-3.650 -5.555 0.550
4.763 -5.428 -6.439
4.398 -3.785 7.742
ATOMIC_POSITIONS angstrom
Y 6.729 -9.582 2.506
Nd 3.574 -9.428 0.792
La 3.530 -5.372 6.166
Y 2.519 -7.388 -1.793
Y 1.597 -4.013 -2.390
Y 0.545 -2.129 1.483
Y 4.207 -3.990 3.284
Y 5.885 -8.639 -1.744
Y 2.992 -7.380 3.646
Y 4.966 -12.639 0.369
La 1.981 -9.396 -4.313
Y -1.218 -5.186 -0.653
Nd 0.131 -8.207 0.562
Nd 5.380 -6.561 1.290
Nd 1.937 -5.340 1.061
Y 1.304 -10.778 -1.432
Y -0.374 -6.129 3.597
Y 3.914 -10.755 4.243



(3)
! La3Nd8Y4 (PBE, optimized geometry); values from VASP
! * space group: C2/m (12)
&SYSTEM
  ibrav = 0, nat = 15, ntyp = 3
/
ATOMIC_SPECIES
Y 88.91 Y.upf
Nd 144.24 Nd.upf
La 138.91 La.upf
CELL_PARAMETERS angstrom
6.992 -0.103 -0.147
-3.390 8.628 1.579
-3.390 -1.514 8.640
ATOMIC_POSITIONS angstrom
Y 3.496 -0.051 -0.074
Y 0.000 0.000 0.000
Nd -0.345 1.745 2.507
Nd 0.106 0.958 6.809
Y -1.695 -0.757 4.320
Y -1.695 4.314 0.790
Nd -3.127 4.978 7.151
Nd -3.390 5.630 3.667
Nd -3.390 1.484 6.552
La 0.106 3.506 5.036
Nd 0.556 5.266 7.565
La 1.801 4.263 0.716
La 1.801 -0.808 4.246
Nd 3.338 2.033 2.920
Nd 0.106 6.053 3.262



(4)
! La5Nd4Y4 (PBE, optimized geometry); values from VASP
! * space group: C2/m (12)
&SYSTEM
  ibrav = 0, nat = 13, ntyp = 3
/
ATOMIC_SPECIES
Y 88.91 Y.upf
Nd 144.24 Nd.upf
La 138.91 La.upf
CELL_PARAMETERS angstrom
-0.730 1.705 -4.839
-8.712 -3.426 -2.668
-4.448 8.611 0.931
ATOMIC_POSITIONS angstrom
Y -3.520 5.268 -0.387
Nd -8.699 2.925 -3.207
La -2.576 1.998 -1.682
Y -4.287 0.656 -4.672
Nd -5.191 3.966 -3.369
La -11.315 4.892 -4.894
Y -9.604 6.235 -1.904
Y -10.371 1.623 -6.189
La 0.000 0.000 0.000
Nd -7.771 5.947 -5.057
Nd -6.119 0.943 -1.519
La -6.125 7.297 -2.055
La -7.766 -0.406 -4.521



| no. | total energy (eV/atom) | calculated volume (Å³ per cell) | energy of formation (meV per atom) |
| --- | --- | --- | --- |
| 1 | -6.028 | 398.1 | 25 |
| 2 | -5.821 | 607.7 | 95 |
| 3 | -4.939 | 530.4 | 313 |
| 4 | -5.330 | 456.4 | 21 |